The following is a DFT calculation (PBE-GGA) of crystalline Mg8AlAu2 at its relaxed geometry.

Energy of formation from the pure elements   -231 meV/atom
Total DFT energy (no corrections)   -2.327 eV/atom
D(E_F)   7.449 states/eV per cell
Spin magnetization   0.00 μB per atom
Energy above the most stable polymorph in this dataset   3.2 kJ per mole of atoms

Cell lengths 7.916, 12.637, 4.989 Å; angles 90.00, 107.77, 90.00 degrees
Space group C2/m (No. 12)
Unique sites:
Mg: 0.000 0.231 0.000 x4
Mg: 0.115 0.500 0.802 x4
Mg: 0.199 0.121 0.599 x8
Al: 0.000 0.000 0.000 x2
Au: 0.000 0.309 0.500 x4